DFT (GGA-PBE) results for crystalline LiCeP4O12 at its relaxed geometry.

raw formation energy = -235.1 kJ per mole of atoms
raw total energy = -0.5424 Ry/atom

```
data_LiCeP4O12
_chemical_formula_sum 'Li4 Ce4 P16 O48'
_cell_length_a 16.739
_cell_length_b 7.207
_cell_length_c 9.978
_cell_angle_alpha 90.00
_cell_angle_beta 126.48
_cell_angle_gamma 90.00
_symmetry_space_group_name_H-M 'C 1 2/c 1'
_symmetry_Int_Tables_number 15
_symmetry_space_group_name_Hall '-C 2yc'
loop_
_atom_site_label
_atom_site_type_symbol
_atom_site_fract_x
_atom_site_fract_y
_atom_site_fract_z
Li1 Li 0.000 0.201 0.250
Ce1 Ce 0.000 0.301 0.750
P1 P 0.139 0.058 0.163
P2 P 0.148 0.339 0.597
O1 O 0.067 0.009 0.204
O2 O 0.076 0.400 0.419
O3 O 0.114 0.217 0.047
O4 O 0.128 0.383 0.721
O5 O 0.160 0.117 0.589
O6 O 0.244 0.089 0.341
```